1.
Crystalline YCu2SiTe at its relaxed geometry. Source: Alexandria, functional GGA-PBE.

Cell and atoms, written as POSCAR:
```
YCu2SiTe
1.0
4.415 0.000 0.000
0.000 4.415 0.000
0.000 0.000 5.787
Y Cu Si Te
1 2 1 1
Direct
0.000 0.000 0.000
0.000 0.500 0.500
0.500 0.000 0.500
0.500 0.500 0.500
0.500 0.500 0.000
```

Computed properties:
The calculation puts the formation energy from raw total energies at -0.29 eV/f.u.

2.
Crystalline Th3Cu3Si at its relaxed geometry. Source: Alexandria, functional GGA-PBE.

Cell and atoms, written as POSCAR:
```
Th3Cu3Si
1.0
3.912 0.000 0.000
0.000 4.146 0.000
0.000 0.000 18.935
Th Cu Si
6 6 2
Direct
0.000 0.000 0.000
0.000 0.000 0.376
0.000 0.500 0.189
0.500 0.000 0.689
0.500 0.500 0.500
0.500 0.500 0.876
0.000 0.000 0.549
0.000 0.000 0.820
0.000 0.500 0.624
0.500 0.000 0.124
0.500 0.500 0.049
0.500 0.500 0.320
0.000 0.500 0.752
0.500 0.000 0.252
```

Computed properties:
The calculation puts the formation energy from raw total energies at -2.10 eV/f.u.

3.
Crystalline ThCu3Si2 at its relaxed geometry. Source: Alexandria, functional GGA-PBE.

Cell and atoms, written as POSCAR:
```
ThCu3Si2
1.0
7.491 -2.001 0.000
7.491 2.001 0.000
-3.051 0.000 6.470
Th Cu Si
2 6 4
Direct
0.150 0.150 0.071
0.850 0.850 0.929
0.035 0.035 0.369
0.314 0.314 0.551
0.403 0.403 0.321
0.597 0.597 0.679
0.686 0.686 0.449
0.965 0.965 0.631
0.189 0.189 0.677
0.480 0.480 0.821
0.520 0.520 0.179
0.811 0.811 0.323
```

Computed properties:
The calculation puts the formation energy from raw total energies at -2.71 eV/f.u.

4.
Crystalline Th2Cu3Si at its relaxed geometry. Source: Alexandria, functional GGA-PBE.

Cell and atoms, written as POSCAR:
```
Th2Cu3Si
1.0
0.000 4.313 7.429
3.736 0.000 7.429
3.736 4.313 0.000
Th Cu Si
4 6 2
Direct
0.237 0.763 0.763
0.250 0.250 0.250
0.750 0.750 0.750
0.763 0.237 0.237
0.169 0.169 0.831
0.172 0.660 0.340
0.340 0.828 0.172
0.660 0.172 0.828
0.828 0.340 0.660
0.831 0.831 0.169
0.335 0.335 0.665
0.665 0.665 0.335
```

Computed properties:
The calculation puts the formation energy from raw total energies at -2.30 eV/f.u.

5.
Crystalline ThCu4Si3 at its relaxed geometry. Source: Alexandria, functional GGA-PBE.

Cell and atoms, written as POSCAR:
```
ThCu4Si3
1.0
4.080 0.000 0.000
0.000 4.080 0.000
0.000 0.000 7.568
Th Cu Si
1 4 3
Direct
0.000 0.000 0.000
0.000 0.500 0.328
0.000 0.500 0.672
0.500 0.000 0.328
0.500 0.000 0.672
0.000 0.000 0.500
0.500 0.500 0.157
0.500 0.500 0.843
```

Computed properties:
The calculation puts the formation energy from raw total energies at -2.96 eV/f.u.

6.
Crystalline Th2CuSi3 at its relaxed geometry. Source: Alexandria, functional GGA-PBE.

Cell and atoms, written as POSCAR:
```
Th2CuSi3
1.0
4.155 0.000 0.000
-2.077 3.598 0.000
0.000 0.000 8.135
Th Cu Si
2 1 3
Direct
0.000 0.000 0.246
0.000 0.000 0.754
0.333 0.667 0.500
0.333 0.667 0.000
0.667 0.333 0.000
0.667 0.333 0.500
```

Computed properties:
The calculation puts the formation energy from raw total energies at -4.15 eV/f.u.

7.
Crystalline Th3Cu2Si3 at its relaxed geometry. Source: Alexandria, functional GGA-PBE.

Cell and atoms, written as POSCAR:
```
Th3Cu2Si3
1.0
2.110 -5.434 0.000
2.110 5.434 0.000
0.000 0.000 14.493
Th Cu Si
6 4 6
Direct
0.078 0.922 0.610
0.078 0.922 0.890
0.365 0.635 0.750
0.635 0.365 0.250
0.922 0.078 0.110
0.922 0.078 0.390
0.218 0.782 0.095
0.218 0.782 0.405
0.782 0.218 0.595
0.782 0.218 0.905
0.342 0.658 0.250
0.375 0.625 0.542
0.375 0.625 0.958
0.625 0.375 0.042
0.625 0.375 0.458
0.658 0.342 0.750
```

Computed properties:
The calculation puts the formation energy from raw total energies at -4.58 eV/f.u.

8.
Crystalline ThCu3Si2 at its relaxed geometry. Source: Alexandria, functional GGA-PBE.

Cell and atoms, written as POSCAR:
```
ThCu3Si2
1.0
7.703 -2.035 0.000
7.703 2.035 0.000
-0.976 0.000 6.393
Th Cu Si
2 6 4
Direct
0.113 0.113 0.197
0.887 0.887 0.803
0.072 0.072 0.666
0.302 0.302 0.075
0.329 0.329 0.456
0.671 0.671 0.544
0.698 0.698 0.925
0.928 0.928 0.334
0.232 0.232 0.716
0.463 0.463 0.157
0.537 0.537 0.843
0.768 0.768 0.284
```

Computed properties:
The calculation puts the formation energy from raw total energies at -1.87 eV/f.u.

9.
Crystalline ThCu2Si2 at its relaxed geometry. Source: Alexandria, functional GGA-PBE.

Cell and atoms, written as POSCAR:
```
ThCu2Si2
1.0
5.834 0.000 0.000
0.000 5.829 0.000
-2.906 0.000 4.923
Th Cu Si
2 4 4
Direct
0.000 0.000 0.000
0.500 0.500 0.000
0.000 0.250 0.500
0.000 0.750 0.500
0.500 0.250 0.500
0.500 0.750 0.500
0.122 0.500 0.243
0.378 0.000 0.757
0.622 0.000 0.243
0.878 0.500 0.757
```

Computed properties:
The calculation puts the formation energy from raw total energies at -2.89 eV/f.u.

10.
Crystalline Th2CuSi3 at its relaxed geometry. Source: Alexandria, functional GGA-PBE.

Cell and atoms, written as POSCAR:
```
Th2CuSi3
1.0
4.143 0.000 0.000
0.000 4.225 0.000
0.000 0.000 6.967
Th Cu Si
2 1 3
Direct
0.000 0.000 0.000
0.500 0.000 0.488
0.000 0.500 0.665
0.000 0.500 0.333
0.500 0.500 0.164
0.500 0.500 0.823
```

Computed properties:
The calculation puts the formation energy from raw total energies at -4.14 eV/f.u.

11.
Crystalline Th3Cu7Si4 at its relaxed geometry. Source: Alexandria, functional GGA-PBE.

Cell and atoms, written as POSCAR:
```
Th3Cu7Si4
1.0
7.724 -2.101 0.000
7.724 2.101 0.000
-5.024 0.000 7.343
Th Cu Si
3 7 4
Direct
0.000 0.000 0.000
0.303 0.303 0.301
0.697 0.697 0.699
0.000 0.000 0.500
0.146 0.146 0.876
0.337 0.337 0.691
0.497 0.497 0.296
0.503 0.503 0.704
0.663 0.663 0.309
0.854 0.854 0.124
0.130 0.130 0.413
0.344 0.344 0.975
0.656 0.656 0.025
0.870 0.870 0.587
```

Computed properties:
The calculation puts the formation energy from raw total energies at -6.04 eV/f.u.

12.
Crystalline Th2Cu6Si3 at its relaxed geometry. Source: Alexandria, functional GGA-PBE.

Cell and atoms, written as POSCAR:
```
Th2Cu6Si3
1.0
7.267 0.000 0.000
-3.633 6.293 0.000
0.000 0.000 4.059
Th Cu Si
2 6 3
Direct
0.333 0.667 0.000
0.667 0.333 0.000
0.000 0.296 0.500
0.000 0.804 0.000
0.196 0.196 0.000
0.296 0.000 0.500
0.704 0.704 0.500
0.804 0.000 0.000
0.000 0.636 0.500
0.364 0.364 0.500
0.636 0.000 0.500
```

Computed properties:
The calculation puts the formation energy from raw total energies at -4.08 eV/f.u.

13.
Crystalline Th3Cu3Si2 at its relaxed geometry. Source: Alexandria, functional GGA-PBE.

Cell and atoms, written as POSCAR:
```
Th3Cu3Si2
1.0
2.064 -5.466 0.000
2.064 5.466 0.000
0.000 0.000 15.071
Th Cu Si
6 6 4
Direct
0.072 0.928 0.750
0.365 0.635 0.592
0.365 0.635 0.908
0.635 0.365 0.092
0.635 0.365 0.408
0.928 0.072 0.250
0.085 0.915 0.552
0.085 0.915 0.948
0.209 0.791 0.250
0.791 0.209 0.750
0.915 0.085 0.052
0.915 0.085 0.448
0.343 0.657 0.115
0.343 0.657 0.385
0.657 0.343 0.615
0.657 0.343 0.885
```

Computed properties:
The calculation puts the formation energy from raw total energies at -3.60 eV/f.u.

14.
Crystalline ThCu4Si4 at its relaxed geometry. Source: Alexandria, functional GGA-PBE.

Cell and atoms, written as POSCAR:
```
ThCu4Si4
1.0
5.881 0.000 0.000
0.000 5.881 0.000
0.000 0.000 8.114
Th Cu Si
2 8 8
Direct
0.250 0.750 0.250
0.750 0.250 0.750
0.009 0.250 0.155
0.250 0.009 0.655
0.250 0.491 0.655
0.491 0.250 0.155
0.509 0.750 0.845
0.750 0.509 0.345
0.750 0.991 0.345
0.991 0.750 0.845
0.050 0.250 0.449
0.250 0.050 0.949
0.250 0.450 0.949
0.450 0.250 0.449
0.550 0.750 0.551
0.750 0.550 0.051
0.750 0.950 0.051
0.950 0.750 0.551
```

Computed properties:
The calculation puts the formation energy from raw total energies at -1.48 eV/f.u.

15.
Crystalline Th3CuSi2 at its relaxed geometry. Source: Alexandria, functional GGA-PBE.

Cell and atoms, written as POSCAR:
```
Th3CuSi2
1.0
11.931 0.000 0.000
0.000 4.136 0.000
0.000 0.000 11.625
Th Cu Si
12 4 8
Direct
0.054 0.250 0.120
0.120 0.750 0.563
0.208 0.250 0.788
0.292 0.750 0.288
0.380 0.250 0.063
0.446 0.750 0.620
0.554 0.250 0.380
0.620 0.750 0.937
0.708 0.250 0.712
0.792 0.750 0.212
0.880 0.250 0.437
0.946 0.750 0.880
0.129 0.250 0.371
0.371 0.750 0.871
0.629 0.250 0.129
0.871 0.750 0.629
0.029 0.750 0.313
0.194 0.750 0.990
0.306 0.250 0.490
0.471 0.250 0.813
0.529 0.750 0.187
0.694 0.750 0.510
0.806 0.250 0.010
0.971 0.250 0.687
```

Computed properties:
The calculation puts the formation energy from raw total energies at -3.28 eV/f.u.

16.
Crystalline ThCu3Si3 at its relaxed geometry. Source: Alexandria, functional GGA-PBE.

Cell and atoms, written as POSCAR:
```
ThCu3Si3
1.0
6.353 0.000 0.000
0.000 6.353 0.000
0.000 0.000 6.353
Th Cu Si
2 6 6
Direct
0.000 0.000 0.000
0.500 0.500 0.500
0.000 0.250 0.500
0.000 0.750 0.500
0.250 0.500 0.000
0.500 0.000 0.250
0.500 0.000 0.750
0.750 0.500 0.000
0.000 0.500 0.250
0.000 0.500 0.750
0.250 0.000 0.500
0.500 0.250 0.000
0.500 0.750 0.000
0.750 0.000 0.500
```

Computed properties:
The calculation puts the formation energy from raw total energies at 0.24 eV/f.u.

17.
Crystalline Th3Cu4Si2 at its relaxed geometry. Source: Alexandria, functional GGA-PBE.

Cell and atoms, written as POSCAR:
```
Th3Cu4Si2
1.0
5.399 -2.093 0.000
5.399 2.093 0.000
-2.159 0.000 8.047
Th Cu Si
3 4 2
Direct
0.000 0.000 0.000
0.336 0.336 0.334
0.664 0.664 0.666
0.056 0.056 0.387
0.276 0.276 0.936
0.724 0.724 0.064
0.944 0.944 0.613
0.387 0.387 0.719
0.613 0.613 0.281
```

Computed properties:
The calculation puts the formation energy from raw total energies at -4.02 eV/f.u.

18.
Crystalline Th3Cu2Si3 at its relaxed geometry. Source: Alexandria, functional GGA-PBE.

Cell and atoms, written as POSCAR:
```
Th3Cu2Si3
1.0
2.045 -5.456 0.000
2.045 5.456 0.000
0.000 0.000 15.265
Th Cu Si
6 4 6
Direct
0.058 0.942 0.750
0.356 0.644 0.594
0.356 0.644 0.906
0.644 0.356 0.094
0.644 0.356 0.406
0.942 0.058 0.250
0.355 0.645 0.117
0.355 0.645 0.383
0.645 0.355 0.617
0.645 0.355 0.883
0.076 0.924 0.555
0.076 0.924 0.945
0.221 0.779 0.250
0.779 0.221 0.750
0.924 0.076 0.055
0.924 0.076 0.445
```

Computed properties:
The calculation puts the formation energy from raw total energies at -4.92 eV/f.u.

19.
Crystalline YThCu2Si2 at its relaxed geometry. Source: Alexandria, functional GGA-PBE.

Cell and atoms, written as POSCAR:
```
YThCu2Si2
1.0
4.131 0.000 0.000
-2.066 3.578 0.000
0.000 0.000 7.932
Y Th Cu Si
1 1 2 2
Direct
0.000 0.000 0.000
0.000 0.000 0.500
0.333 0.667 0.754
0.667 0.333 0.246
0.333 0.667 0.243
0.667 0.333 0.757
```

Computed properties:
The calculation puts the formation energy from raw total energies at -4.02 eV/f.u.

20.
Crystalline ThZnCuSi2 at its relaxed geometry. Source: Alexandria, functional GGA-PBE.

Cell and atoms, written as POSCAR:
```
ThZnCuSi2
1.0
4.091 0.000 0.000
0.000 4.091 0.000
0.000 0.000 10.438
Th Zn Cu Si
2 2 2 4
Direct
0.000 0.000 0.000
0.500 0.500 0.500
0.000 0.500 0.250
0.500 0.000 0.750
0.000 0.500 0.750
0.500 0.000 0.250
0.000 0.000 0.385
0.000 0.000 0.615
0.500 0.500 0.115
0.500 0.500 0.885
```

Computed properties:
The calculation puts the formation energy from raw total energies at -2.27 eV/f.u.

21.
Crystalline Th2ZnCu4Si3 at its relaxed geometry. Source: Alexandria, functional GGA-PBE.

Cell and atoms, written as POSCAR:
```
Th2ZnCu4Si3
1.0
4.118 0.000 0.000
0.000 4.118 0.000
0.000 0.000 9.988
Th Zn Cu Si
2 1 4 3
Direct
0.000 0.500 0.245
0.500 0.000 0.755
0.000 0.000 0.500
0.000 0.000 0.000
0.000 0.500 0.634
0.500 0.000 0.366
0.500 0.500 0.000
0.000 0.500 0.870
0.500 0.000 0.130
0.500 0.500 0.500
```

Computed properties:
The calculation puts the formation energy from raw total energies at -5.14 eV/f.u.